(1)
# K2SeO

K2SeO after structural relaxation (GGA-PBE, Alexandria).

- Total moment: 0.00 μB/f.u.
- Formation energy (no corrections): -0.840 eV per atom
- Offset from the most stable computed form: 0.245 eV per atom
- DFT total energy: -56.0 eV per cell
- Calculated volume: 485 Å³ per cell

Unit cell a=10.5350 b=10.5350 c=4.3713 alpha=90.00 beta=90.00 gamma=90.00
Space group I-42d (No. 122)
Symmetry-distinct sites (fractional):
K: 0.0271 0.2500 0.1250 [8 per cell]
Se: 0.0000 0.0000 0.5000 [4 per cell]
O: 0.0000 0.0000 0.0000 [4 per cell]

(2)
# K2SeO

K2SeO after structural relaxation (GGA-PBE, Alexandria).

- Total moment: 0.00 μB/f.u.
- Formation energy (no corrections): -1.085 eV per atom
- Offset from the most stable computed form: 0.000 eV per atom
- DFT total energy: -30.0 eV per cell
- Calculated volume: 210 Å³ per cell

Unit cell a=5.4044 b=6.8024 c=6.9398 alpha=67.42 beta=67.92 gamma=68.20
Space group P-1 (No. 2)
Symmetry-distinct sites (fractional):
K: 0.0609 0.1871 0.2078 [2 per cell]
K: 0.2984 0.3065 0.5980 [2 per cell]
Se: 0.3392 0.6758 0.1303 [2 per cell]
O: 0.1769 0.7516 0.3976 [2 per cell]